# Tl5SnPb6, optimized geometry, DFT PBE
data_Tl5SnPb6
_chemical_formula_sum 'Tl10 Sn2 Pb12'
_space_group_name_H-M_alt 'C 1 2/m 1'
_space_group_IT_number 12
_space_group_name_Hall '-C 2y'
_cell_length_a 11.5861
_cell_length_b 10.5277
_cell_length_c 6.1577
_cell_angle_alpha 90.00
_cell_angle_beta 98.45
_cell_angle_gamma 90.00
loop_
_atom_site_label
_atom_site_type_symbol
_atom_site_fract_x
_atom_site_fract_y
_atom_site_fract_z
Tl1 Tl 0.0000 0.0000 0.0000
Tl2 Tl 0.0000 0.1674 0.5000
Tl3 Tl 0.0000 0.3331 0.0000
Sn1 Sn 0.0000 0.5000 0.5000
Pb1 Pb 0.2452 0.3364 0.7463
Pb2 Pb 0.2447 0.5000 0.2525
# size of the total moment	0.00	μB per cell
# ΔH_f (0 K)	0.01	eV per atom

---

# Tl2Sn2Pb, optimized geometry, DFT PBE
data_Tl2Sn2Pb
_chemical_formula_sum 'Tl4 Sn4 Pb2'
_space_group_name_H-M_alt 'I 4/m m m'
_space_group_IT_number 139
_space_group_name_Hall '-I 4 2'
_cell_length_a 4.5419
_cell_length_b 4.5419
_cell_length_c 15.5006
_cell_angle_alpha 90.00
_cell_angle_beta 90.00
_cell_angle_gamma 90.00
loop_
_atom_site_label
_atom_site_type_symbol
_atom_site_fract_x
_atom_site_fract_y
_atom_site_fract_z
Tl1 Tl 0.0000 0.5000 0.2500
Sn1 Sn 0.0000 0.0000 0.0946
Pb1 Pb 0.0000 0.0000 0.5000
# size of the total moment	0.00	μB per cell
# E above lowest polymorph	8.78	kJ/mol of atoms
# ΔH_f (0 K)	0.14	eV per atom